## Y10Tm4Sc (PBE-GGA)

Data for a relaxed Y10Tm4Sc crystal.

Summary:
Total energy = -5.683 eV/atom

Lattice parameters (Å, degrees): 8.8752 8.8752 8.8752 100.19 100.19 130.26
Atoms (fractional coordinates):
1 Y 0.0124 0.2227 0.7896
2 Y 0.2227 0.0124 0.7896
3 Y 0.2227 0.4331 0.2104
4 Y 0.2500 0.7500 0.5000
5 Y 0.4331 0.2227 0.2104
6 Y 0.5669 0.7773 0.7896
7 Y 0.7500 0.2500 0.5000
8 Y 0.7773 0.5669 0.7896
9 Y 0.7773 0.9876 0.2104
10 Y 0.9876 0.7773 0.2104
11 Tm 0.2635 0.2635 0.5269
12 Tm 0.2635 0.7365 0.0000
13 Tm 0.7365 0.2635 0.0000
14 Tm 0.7365 0.7365 0.4731
15 Sc 0.5000 0.5000 0.0000